(1)
Here is a geometry-optimized TiN2ClF structure from the Alexandria database. Energies are from PBE-GGA.

a b c (Å): 4.066 4.066 3.907
angles (deg): 90.00 90.00 90.00
Atoms (fractional coordinates):
Ti 0.000 0.000 0.000
N 0.000 0.500 0.000
N 0.500 0.000 0.000
Cl 0.500 0.500 0.500
F 0.000 0.000 0.500

Computed properties:
Its polymorph energy (0 for the lowest one) is 0.00 eV/f.u. The value obtained for the raw formation energy is -0.0329 eV/atom. The value obtained for the calculated volume is 64.6 Å³/cell. As for the total magnetization: 1.190 μB/f.u.

=====

(2)
Here is a geometry-optimized TiN2ClF structure from the Alexandria database. Energies are from PBE-GGA.

a b c (Å): 3.923 3.923 3.860
angles (deg): 90.00 90.00 90.00
Atoms (fractional coordinates):
Ti 0.000 0.000 0.000
N 0.000 0.500 0.500
N 0.500 0.000 0.500
Cl 0.500 0.500 0.500
F 0.500 0.500 0.000

Computed properties:
Its polymorph energy (0 for the lowest one) is 6.60 eV/f.u. The value obtained for the raw formation energy is 1.2873 eV/atom. The value obtained for the calculated volume is 59.4 Å³/cell. As for the total magnetization: 0.811 μB/f.u.

=====

(3)
Here is a geometry-optimized TiNClF2 structure from the Alexandria database. Energies are from PBE-GGA.

a b c (Å): 3.887 3.887 4.182
angles (deg): 90.00 90.00 90.00
Atoms (fractional coordinates):
Ti 0.000 0.000 0.000
N 0.000 0.000 0.500
Cl 0.500 0.500 0.500
F 0.000 0.500 0.000
F 0.500 0.000 0.000

Computed properties:
Its polymorph energy (0 for the lowest one) is 0.00 eV/f.u. The value obtained for the raw formation energy is -1.3122 eV/atom. The value obtained for the calculated volume is 63.2 Å³/cell. As for the total magnetization: 0.000 μB/f.u.

=====

(4)
Here is a geometry-optimized TiNClF2 structure from the Alexandria database. Energies are from PBE-GGA.

a b c (Å): 4.748 4.748 3.310
angles (deg): 90.00 90.00 90.00
Atoms (fractional coordinates):
Ti 0.000 0.000 0.000
N 0.500 0.500 0.000
Cl 0.500 0.500 0.500
F 0.000 0.500 0.500
F 0.500 0.000 0.500

Computed properties:
Its polymorph energy (0 for the lowest one) is 8.71 eV/f.u. The value obtained for the raw formation energy is 0.4302 eV/atom. The value obtained for the calculated volume is 74.6 Å³/cell. As for the total magnetization: 0.000 μB/f.u.

=====

(5)
Here is a geometry-optimized TlN2ClF structure from the Alexandria database. Energies are from PBE-GGA.

a b c (Å): 3.741 3.741 5.924
angles (deg): 90.00 90.00 90.00
Atoms (fractional coordinates):
Tl 0.000 0.000 0.000
N 0.000 0.500 0.500
N 0.500 0.000 0.500
Cl 0.500 0.500 0.500
F 0.500 0.500 0.000

Computed properties:
Its polymorph energy (0 for the lowest one) is 0.00 eV/f.u. The value obtained for the raw formation energy is 1.3045 eV/atom. The value obtained for the calculated volume is 82.9 Å³/cell. As for the total magnetization: 0.692 μB/f.u.

=====

(6)
Here is a geometry-optimized TlN2ClF structure from the Alexandria database. Energies are from PBE-GGA.

a b c (Å): 4.591 4.591 4.415
angles (deg): 90.00 90.00 90.00
Atoms (fractional coordinates):
Tl 0.000 0.000 0.000
N 0.000 0.500 0.000
N 0.500 0.000 0.000
Cl 0.500 0.500 0.500
F 0.000 0.000 0.500

Computed properties:
Its polymorph energy (0 for the lowest one) is 0.05 eV/f.u. The value obtained for the raw formation energy is 1.3148 eV/atom. The value obtained for the calculated volume is 93.1 Å³/cell. As for the total magnetization: 3.639 μB/f.u.

=====

The lowest raw formation energy belongs to which entry? number 3